[1]
BeCrAg2 | PBE | relaxed

Structure (CIF):
```
data_BeCrAg2
_symmetry_space_group_name_H-M 'I m m m'
_symmetry_Int_Tables_number 71
_symmetry_space_group_name_Hall '-I 2 2'
_cell_length_a 3.0222
_cell_length_b 4.5249
_cell_length_c 8.8593
_cell_angle_alpha 90.00
_cell_angle_beta 90.00
_cell_angle_gamma 90.00
loop_
_atom_site_label
_atom_site_type_symbol
_atom_site_fract_x
_atom_site_fract_y
_atom_site_fract_z
_atom_site_occupancy
Be1 Be 0.0000 0.0000 0.0000 1
Cr1 Cr 0.0000 0.0000 0.5000 1
Ag1 Ag 0.0000 0.5000 0.2879 1
```

Results
Magnetic moment   4.0 μB/f.u.
Energy of formation from the pure elements   380 meV/atom

=====

[2]
Tb2Sm6Th | PBE | relaxed

Structure (CIF):
```
data_Tb2Sm6Th
_symmetry_space_group_name_H-M 'P -6 m 2'
_symmetry_Int_Tables_number 187
_symmetry_space_group_name_Hall 'P -6 2'
_cell_length_a 3.6130
_cell_length_b 3.6130
_cell_length_c 26.8455
_cell_angle_alpha 90.00
_cell_angle_beta 90.00
_cell_angle_gamma 120.00
loop_
_atom_site_label
_atom_site_type_symbol
_atom_site_fract_x
_atom_site_fract_y
_atom_site_fract_z
_atom_site_occupancy
Tb1 Tb 0.0000 0.0000 0.1706 1
Sm1 Sm 0.0000 0.0000 0.3907 1
Sm2 Sm 0.6667 0.3333 0.0655 1
Sm3 Sm 0.6667 0.3333 0.2801 1
Th1 Th 0.6667 0.3333 0.5000 1
```

Results
Magnetic moment   0.0 μB/f.u.
Energy of formation from the pure elements   62 meV/atom

=====

[3]
Cs2Rb4Au2I3 | PBE | relaxed

Structure (CIF):
```
data_Cs2Rb4Au2I3
_symmetry_space_group_name_H-M 'I 4/m m m'
_symmetry_Int_Tables_number 139
_symmetry_space_group_name_Hall '-I 4 2'
_cell_length_a 6.5037
_cell_length_b 6.5037
_cell_length_c 27.7314
_cell_angle_alpha 90.00
_cell_angle_beta 90.00
_cell_angle_gamma 90.00
loop_
_atom_site_label
_atom_site_type_symbol
_atom_site_fract_x
_atom_site_fract_y
_atom_site_fract_z
_atom_site_occupancy
Cs1 Cs 0.0000 0.0000 0.1963 1
Rb1 Rb 0.0000 0.5000 0.0764 1
Au1 Au 0.0000 0.0000 0.0513 1
I1 I 0.0000 0.0000 0.3336 1
I2 I 0.0000 0.0000 0.5000 1
```

Results
Electronic total energy   -52.16 eV/cell
Magnetic moment   0.0 μB/f.u.

=====

[4]
Pr4Tl5Pb2 | PBE | relaxed

Structure (CIF):
```
data_Pr4Tl5Pb2
_symmetry_space_group_name_H-M 'P 1 2/m 1'
_symmetry_Int_Tables_number 10
_symmetry_space_group_name_Hall '-P 2y'
_cell_length_a 8.6312
_cell_length_b 3.9373
_cell_length_c 10.0946
_cell_angle_alpha 90.00
_cell_angle_beta 90.64
_cell_angle_gamma 90.00
loop_
_atom_site_label
_atom_site_type_symbol
_atom_site_fract_x
_atom_site_fract_y
_atom_site_fract_z
_atom_site_occupancy
Pr1 Pr 0.2145 0.0000 0.3717 1
Pr2 Pr 0.2427 0.0000 0.8935 1
Tl1 Tl 0.1409 0.5000 0.6284 1
Tl2 Tl 0.4621 0.5000 0.1657 1
Tl3 Tl 0.5000 0.5000 0.5000 1
Pb1 Pb 0.0959 0.5000 0.1310 1
```

Results
Magnetic moment   0.0 μB/f.u.
Energy of formation from the pure elements   -318 meV/atom